1.
A plane-wave DFT calculation with PBE was carried out for a relaxed structure of AlSn2C.

a = 6.774 Å, b = 6.774 Å, c = 6.774 Å
α = 90.00°, β = 90.00°, γ = 90.00°
Space group Fm-3m (No. 225)
Asymmetric unit:
Al: 0.000 0.000 0.000 [4 per cell]
Sn: 0.250 0.250 0.250 [8 per cell]
C: 0.000 0.000 0.500 [4 per cell]

Properties
E_form, eV/atom: 1.32
Fermi-level density of states, states/eV/f.u.: 3.2
VASP energy, eV/atom: -3.919
E above lowest polymorph, meV per atom: 619
Volume, Å³/atom: 19.43



2.
A plane-wave DFT calculation with PBE was carried out for a relaxed structure of TbGaCu2.

a = 7.984 Å, b = 6.506 Å, c = 5.376 Å
α = 90.00°, β = 90.00°, γ = 90.00°
Space group Pnma (No. 62)
Asymmetric unit:
Tb: 0.057 0.250 0.151 [4 per cell]
Ga: 0.107 0.750 0.350 [4 per cell]
Cu: 0.180 0.055 0.616 [8 per cell]

Properties
E_form, eV/atom: -0.35
Fermi-level density of states, states/eV/f.u.: 2.4
VASP energy, eV/atom: -4.317
Volume, Å³/atom: 17.45



3.
A plane-wave DFT calculation with PBE was carried out for a relaxed structure of CsFeBi2Pt.

a = 5.613 Å, b = 5.613 Å, c = 5.147 Å
α = 90.00°, β = 90.00°, γ = 90.00°
Space group P4/mmm (No. 123)
Asymmetric unit:
Cs: 0.000 0.000 0.000 [1 per cell]
Fe: 0.500 0.500 0.000 [1 per cell]
Bi: 0.000 0.500 0.500 [2 per cell]
Pt: 0.500 0.500 0.500 [1 per cell]

Properties
E_form, eV/atom: 0.41
Fermi-level density of states, states/eV/f.u.: 6.2
VASP energy, eV/atom: -4.209
Volume, Å³/atom: 32.43



4.
A plane-wave DFT calculation with PBE was carried out for a relaxed structure of BeCoIr2N.

a = 4.503 Å, b = 4.503 Å, c = 2.952 Å
α = 90.00°, β = 90.00°, γ = 90.00°
Space group P4/mmm (No. 123)
Asymmetric unit:
Be: 0.000 0.000 0.000 [1 per cell]
Co: 0.500 0.500 0.500 [1 per cell]
Ir: 0.000 0.500 0.000 [2 per cell]
N: 0.000 0.000 0.500 [1 per cell]

Properties
Formation energy without anion corrections, eV per formula unit: 4.7
Fermi-level density of states, states/eV/f.u.: 6.6
VASP energy, eV/atom: -6.438
Volume, Å³/atom: 11.97



5.
A plane-wave DFT calculation with PBE was carried out for a relaxed structure of KScAlPd2.

a = 4.836 Å, b = 4.836 Å, c = 5.204 Å
α = 90.00°, β = 90.00°, γ = 90.00°
Space group P4/mmm (No. 123)
Asymmetric unit:
K: 0.000 0.000 0.000 [1 per cell]
Sc: 0.500 0.500 0.000 [1 per cell]
Al: 0.500 0.500 0.500 [1 per cell]
Pd: 0.000 0.500 0.500 [2 per cell]

Properties
E_form, eV/atom: 0.18
Fermi-level density of states, states/eV/f.u.: 6.0
VASP energy, eV/atom: -4.134
Volume, Å³/atom: 24.34



6.
A plane-wave DFT calculation with PBE was carried out for a relaxed structure of Rb4Pu3AgO12.

a = 8.717 Å, b = 8.717 Å, c = 8.717 Å
α = 90.00°, β = 90.00°, γ = 90.00°
Space group Im-3m (No. 229)
Asymmetric unit:
Rb: 0.250 0.250 0.250 [8 per cell]
Pu: 0.000 0.000 0.500 [6 per cell]
Ag: 0.000 0.000 0.000 [2 per cell]
O: 0.000 0.000 0.284 [12 per cell]
O: 0.000 0.250 0.500 [12 per cell]

Properties
Formation energy without anion corrections, eV per formula unit: -43.6
Fermi-level density of states, states/eV/f.u.: 8.0
VASP energy, eV/atom: -7.642
Volume, Å³/atom: 16.56